Record 1
Entry from Alexandria: a geometry-optimized SrInSi2 structure (PBE).

Calculated values
SG = No. 12
ΔE_f (raw) = -100 meV/atom
M_tot = 0.000 μB/f.u.

```
SrInSi2
1.0
9.643 0.000 0.000
0.000 3.852 0.000
-2.118 0.000 5.523
Sr In Si
2 2 4
Direct
0.000 0.000 0.000 Sr
0.500 0.500 0.000 Sr
0.000 0.500 0.500 In
0.500 0.000 0.500 In
0.249 0.000 0.636 Si
0.251 0.500 0.364 Si
0.749 0.500 0.636 Si
0.751 0.000 0.364 Si
```



Record 2
Entry from Alexandria: a geometry-optimized Nd4Sm2Dy2Er structure (PBE).

Calculated values
SG = No. 12
calculated formation energy = 0.02 eV per atom
M_tot = 0.000 μB/f.u.

```
Nd4Sm2Dy2Er
1.0
7.690 -2.563 0.000
7.690 2.563 0.000
-2.571 0.000 7.652
Nd Sm Dy Er
4 2 2 1
Direct
0.055 0.055 0.331 Nd
0.278 0.278 0.669 Nd
0.722 0.722 0.331 Nd
0.945 0.945 0.669 Nd
0.388 0.388 0.330 Sm
0.612 0.612 0.670 Sm
0.167 0.167 0.000 Dy
0.833 0.833 0.000 Dy
0.500 0.500 0.000 Er
```



Record 3
Entry from Alexandria: a geometry-optimized MnHCl2 structure (PBE).

Calculated values
SG = No. 225
total energy = -3.38 eV per atom
M_tot = 0.000 μB/f.u.

```
MnHCl2
1.0
5.822 0.000 0.000
0.000 5.822 0.000
0.000 0.000 5.822
Mn H Cl
4 4 8
Direct
0.000 0.000 0.000 Mn
0.000 0.500 0.500 Mn
0.500 0.000 0.500 Mn
0.500 0.500 0.000 Mn
0.000 0.000 0.500 H
0.000 0.500 0.000 H
0.500 0.000 0.000 H
0.500 0.500 0.500 H
0.250 0.250 0.250 Cl
0.250 0.250 0.750 Cl
0.250 0.750 0.250 Cl
0.250 0.750 0.750 Cl
0.750 0.250 0.250 Cl
0.750 0.250 0.750 Cl
0.750 0.750 0.250 Cl
0.750 0.750 0.750 Cl
```



Record 4
Entry from Alexandria: a geometry-optimized HfIn2ReRu structure (PBE).

Calculated values
SG = No. 123
calculated formation energy = 1.17 eV per atom
M_tot = 0.002 μB/f.u.

```
HfIn2ReRu
1.0
5.072 0.000 0.000
0.000 5.072 0.000
0.000 0.000 4.673
Hf In Re Ru
1 2 1 1
Direct
0.000 0.000 0.000 Hf
0.000 0.500 0.500 In
0.500 0.000 0.500 In
0.500 0.500 0.500 Re
0.500 0.500 0.000 Ru
```



Computed values of V (unit: A^3/atom) for the preceding records, in sequence: 25.6, 33.5, 12.3, 24.0.